1.
Below is an optimized crystal structure of InAuC, with properties calculated at the PBE level.

Summary:
energy of formation	489	meV per atom

a b c (Å): 4.5855 7.2601 5.2098
angles (deg): 90.62 127.11 83.02
Closest atoms and distances in Å follow each position.
Fractional positions:
Au  0.6381  0.4268  0.2037  5 In 2.80-3.07
Au  0.4859  0.9516  0.6253  2 C 1.98
In  0.3030  0.5752  0.5301  4 Au 2.80-3.02
In  0.9917  0.2483  0.8814  2 C 2.63-2.67, 1 Au 2.86
C  0.4805  0.9541  0.0024  1 C 1.25
C  0.4783  0.9539  0.2411  1 C 1.25

***

2.
Below is an optimized crystal structure of InAuC, with properties calculated at the PBE level.

Summary:
energy of formation	918	meV per atom

a b c (Å): 7.3104 7.0393 8.5426
angles (deg): 90.00 90.00 90.00
Closest atoms and distances in Å follow each position.
Fractional positions:
C  0.5007  0.7500  0.6340  2 Au 2.08, 2 In 2.10
C  0.4993  0.2500  0.3660  2 Au 2.08, 2 In 2.10
C  0.9993  0.2500  0.1340  2 Au 2.08, 2 In 2.10
C  0.0007  0.7500  0.8660  2 Au 2.08, 2 In 2.10
Au  0.2493  0.2500  0.2501  2 C 2.08
Au  0.7493  0.2500  0.2499  2 C 2.08
Au  0.7507  0.7500  0.7499  2 C 2.08
Au  0.2507  0.7500  0.7501  2 C 2.08
In  0.5000  0.0000  0.5000  2 C 2.10
In  0.0000  0.0000  0.0000  2 C 2.10
In  0.0000  0.5000  0.0000  2 C 2.10
In  0.5000  0.5000  0.5000  2 C 2.10

***

3.
Below is an optimized crystal structure of In3AuC, with properties calculated at the PBE level.

Summary:
energy of formation	1323	meV per atom
distance to the lowest polymorph of the same formula	0.614	eV per atom

a b c (Å): 5.3272 5.3272 5.3272
angles (deg): 90.00 90.00 90.00
Closest atoms and distances in Å follow each position.
Fractional positions:
C  0.5000  0.5000  0.5000  12 In 3.77
Au  0.0000  0.0000  0.0000  6 In 2.66
In  0.0000  0.5000  0.0000  2 Au 2.66
In  0.0000  0.0000  0.5000  2 Au 2.66
In  0.5000  0.0000  0.0000  2 Au 2.66

***

4.
Below is an optimized crystal structure of InAuC3, with properties calculated at the PBE level.

Summary:
energy of formation	3243	meV per atom
distance to the lowest polymorph of the same formula	0.356	eV per atom

a b c (Å): 4.3395 4.3395 4.3395
angles (deg): 90.00 90.00 90.00
Closest atoms and distances in Å follow each position.
Fractional positions:
C  0.0000  0.0000  0.5000  2 In 2.17
C  0.0000  0.5000  0.0000  2 In 2.17
C  0.5000  0.0000  0.0000  2 In 2.17
In  0.0000  0.0000  0.0000  6 C 2.17
Au  0.5000  0.5000  0.5000  12 C 3.07